[1]
Crystalline FeRh5 at its relaxed geometry. Source: the Alexandria database, functional PBEsol.

abc: 2.658 2.658 11.086
angles: 90.00 90.00 90.00
Site moments in Bohr magnetons follow the coordinates.
Element x y z (fractional)
Rh  0.500  0.500  0.670  -0.09
Rh  0.000  0.000  0.500  -0.01
Rh  0.000  0.000  0.842  0.07
Rh  0.500  0.500  0.330  -0.09
Rh  0.000  0.000  0.158  0.07
Fe  0.500  0.500  0.000  2.41

Output
**E_form**: 0.003 eV/atom
**M_tot**: 2.37 μB per formula unit


[2]
Crystalline LaZnCu2 at its relaxed geometry. Source: the Alexandria database, functional PBEsol.

abc: 4.723 4.657 4.723
angles: 59.53 90.00 120.47
Element x y z (fractional)
Zn  0.750  0.500  0.750
Cu  0.250  0.500  0.250
Cu  0.000  0.000  0.000
La  0.500  0.000  0.500

Output
**E_form**: 0.006 eV/atom
**M_tot**: 0.00 μB per formula unit


[3]
Crystalline Cr2TcMo at its relaxed geometry. Source: the Alexandria database, functional PBEsol.

abc: 2.596 4.870 4.870
angles: 115.79 100.35 100.35
Element x y z (fractional)
Cr  0.000  0.000  0.500
Cr  0.000  0.500  0.000
Mo  0.500  0.000  0.000
Tc  0.500  0.500  0.500

Output
**E_form**: 0.118 eV/atom
**M_tot**: 0.00 μB per formula unit
**Excess energy over the best structure of this formula in the dataset**: 46.2 meV per atom


[4]
Crystalline TlIrSe at its relaxed geometry. Source: the Alexandria database, functional PBEsol.

abc: 2.981 3.470 6.717
angles: 104.97 102.82 90.00
Element x y z (fractional)
Se  0.387  0.387  0.773
Ir  0.966  0.966  0.932
Tl  0.648  0.648  0.295

Output
**M_tot**: 0.00 μB per formula unit
**Uncorrected formation energy**: 0.212 eV per atom


no.,calculated total energy (eV per atom)
1,-8.27
2,-3.89
3,-10.76
4,-5.22